Density functional theory data (PBE) for an optimized crystal structure of AcNdSm2Dy5.

## Properties
formation enthalpy at 0 K	0.250	eV/atom
spin magnetization	0.0	μB/cell

Unit cell a=8.852 b=8.852 c=15.665 alpha=90.00 beta=90.00 gamma=90.00
Space group I4/mcm (No. 140)
Asymmetric unit:
Ac 0.000 0.000 0.250 x4
Nd 0.000 0.500 0.250 x4
Sm 0.117 0.383 0.000 x8
Dy 0.000 0.000 0.000 x4
Dy 0.204 0.296 0.369 x16